(A)
Below is crystalline Sb2Se2I at its relaxed geometry, with properties calculated at the PBE level.

As for the crystal system: tetragonal. As for the total magnetization: 0.0 μB/f.u.

The structure belongs to space group P4/mbm (No. 127); the cell edges are 9.095, 9.095 and 3.898 Å and the angles 90.00°, 90.00° and 90.00°. The asymmetric unit holds Sb at (0.224, 0.276, 0.000), Se at (0.137, 0.637, 0.500) and I at (0.000, 0.000, 0.000).

(B)
Below is crystalline Sb2Se2I at its relaxed geometry, with properties calculated at the PBE level.

As for the crystal system: tetragonal. As for the total magnetization: 0.0 μB/f.u.

The structure belongs to space group I4_1md (No. 109); the cell edges are 7.126, 7.126 and 13.698 Å and the angles 90.00°, 90.00° and 90.00°. The asymmetric unit holds Sb at (0.000, 0.271, 0.000), Se at (0.000, 0.237, 0.200) and I at (0.000, 0.000, 0.530).

What is the least stable structure shown above? It is (B).